No. 1
DFT (PBE) results for crystalline Cd3Br at its relaxed geometry.

abc: 13.628 13.628 13.628
angles: 162.41 162.41 24.97
Fractional coordinates of all 8 atoms:
Cd (0.000, 0.500, 0.500)
Cd (0.500, 0.000, 0.500)
Cd (0.750, 0.250, 0.500)
Cd (0.250, 0.750, 0.500)
Cd (0.839, 0.839, 0.000)
Cd (0.161, 0.161, 0.000)
Br (0.617, 0.617, 0.000)
Br (0.383, 0.383, 0.000)

Calculated values
Magnetic moment, μB/f.u.: 0.00
E above lowest polymorph, eV per atom: 0.0970
Final energy, eV per atom: -1.20
Formation energy from raw total energies, eV per atom: -0.0971
SG: I4/mmm (139)
ρ, g/cm3: 6.0

No. 2
DFT (PBE) results for crystalline Cd3Br at its relaxed geometry.

abc: 8.597 8.597 8.597
angles: 25.78 25.78 25.78
Fractional coordinates of all 4 atoms:
Br (0.000, 0.000, 0.000)
Cd (0.753, 0.753, 0.753)
Cd (0.500, 0.500, 0.500)
Cd (0.247, 0.247, 0.247)

Calculated values
Magnetic moment, μB/f.u.: 0.00
E above lowest polymorph, eV per atom: 0.0000
Final energy, eV per atom: -1.30
Formation energy from raw total energies, eV per atom: -0.1941
SG: R-3m (166)
ρ, g/cm3: 6.5

No. 3
DFT (PBE) results for crystalline Cd3Br at its relaxed geometry.

abc: 3.492 3.492 8.202
angles: 90.00 90.00 90.00
Fractional coordinates of all 4 atoms:
Br (0.000, 0.000, 0.000)
Cd (0.500, 0.500, 0.261)
Cd (0.000, 0.000, 0.500)
Cd (0.500, 0.500, 0.739)

Calculated values
Magnetic moment, μB/f.u.: 0.00
E above lowest polymorph, eV per atom: 0.0691
Final energy, eV per atom: -1.23
Formation energy from raw total energies, eV per atom: -0.1250
SG: P4/mmm (123)
ρ, g/cm3: 6.9

The lowest ρ belongs to which entry? number 1